1.
Compound: ZrScRu
Source: Alexandria via LeMat-Bulk
Functional: PBE-GGA
Structure: optimized geometry

abc: 3.3193 14.3195 4.8503
angles: 90.00 90.00 90.00
Space group Cmcm (No. 63)
Inequivalent atoms, fractional coordinates:
Zr  0.0000  0.2242  0.2500
Sc  0.0000  0.0736  0.7500
Ru  0.0000  0.4207  0.7500

## Properties
Fermi-level density of states, states/eV/cell: 8.55
Density, Mg/m³: 6.8
Calculated formation energy, eV/atom: -0.438
E_tot, eV per atom: -8.490

=====

2.
Compound: Zr2ScRu
Source: Alexandria via LeMat-Bulk
Functional: PBE-GGA
Structure: optimized geometry

abc: 6.7923 6.7923 6.7923
angles: 90.00 90.00 90.00
Space group F-43m (No. 216)
Inequivalent atoms, fractional coordinates:
Zr  0.0000  0.0000  0.0000
Zr  0.2500  0.2500  0.2500
Sc  0.2500  0.2500  0.7500
Ru  0.0000  0.0000  0.5000

## Properties
Fermi-level density of states, states/eV/cell: 26.80
Density, Mg/m³: 7.0
Calculated formation energy, eV/atom: -0.075
E_tot, eV per atom: -8.251

=====

3.
Compound: Zr6ScRu2
Source: Alexandria via LeMat-Bulk
Functional: PBE-GGA
Structure: optimized geometry

abc: 11.1198 3.3331 10.5975
angles: 90.00 108.43 90.00
Space group C2/m (No. 12)
Inequivalent atoms, fractional coordinates:
Zr  0.0195  0.0000  0.3212
Zr  0.1737  0.5000  0.5721
Zr  0.1906  0.5000  0.8765
Sc  0.0000  0.0000  0.0000
Ru  0.1640  0.5000  0.2202

## Properties
Fermi-level density of states, states/eV/cell: 17.58
Density, Mg/m³: 7.1
Calculated formation energy, eV/atom: -0.284
E_tot, eV per atom: -8.748

=====

4.
Compound: Zr2ScRu
Source: Alexandria via LeMat-Bulk
Functional: PBE-GGA
Structure: optimized geometry

abc: 3.2589 3.2589 27.6467
angles: 90.00 90.00 120.00
Space group R-3m (No. 166, hexagonal axes)
Inequivalent atoms, fractional coordinates:
Zr  0.0000  0.0000  0.2378
Sc  0.0000  0.0000  0.0000
Ru  0.0000  0.0000  0.5000

## Properties
Fermi-level density of states, states/eV/cell: 19.64
Density, Mg/m³: 6.4
Calculated formation energy, eV/atom: -0.057
E_tot, eV per atom: -8.233